Below is an optimized crystal structure of BaTbMn2O8, with properties calculated at the PBE with a Hubbard U level.

Structure (POSCAR):
```
BaTbMn2O8
1.0
5.670 0.000 0.000
-2.835 4.910 0.000
0.000 0.000 7.716
Ba Tb Mn O
1 1 2 8
Direct
0.000 0.000 0.000
0.000 0.000 0.500
0.667 0.333 0.232
0.333 0.667 0.768
0.333 0.667 0.983
0.339 0.170 0.302
0.830 0.168 0.302
0.667 0.333 0.017
0.170 0.832 0.698
0.661 0.830 0.698
0.168 0.339 0.698
0.832 0.661 0.302
```

Results
* E: -6.87 eV per atom
* SG: P-3